(1)
This record from the Alexandria database describes a geometry-optimized Sm3CdP structure. The functional is PBE.

Lattice parameters (Å, degrees): 5.4136 5.4136 5.4136 90.00 90.00 90.00
Space group Pm-3m (No. 221)
Inequivalent atoms, fractional coordinates:
Sm: 0.0000 0.0000 0.5000 x3
Cd: 0.5000 0.5000 0.5000 x1
P: 0.0000 0.0000 0.0000 x1

Computed properties:
Total DFT energy (no corrections)   -0.340 Ry/atom
Total magnetic moment   0.00 Bohr magnetons per cell

(2)
This record from the Alexandria database describes a geometry-optimized CaHoIn2Te4 structure. The functional is PBE.

Lattice parameters (Å, degrees): 7.7878 4.4358 8.0929 90.00 108.25 90.00
Space group P2/m (No. 10)
Inequivalent atoms, fractional coordinates:
Ca: 0.0000 0.0000 0.0000 x1
Ho: 0.5000 0.5000 0.0000 x1
In: 0.0000 0.5000 0.5000 x1
In: 0.5000 0.0000 0.5000 x1
Te: 0.2585 0.5000 0.2367 x2
Te: 0.2686 0.0000 0.7703 x2

Computed properties:
E_form (uncorrected)   -0.91 eV per atom
Total magnetic moment   0.00 Bohr magnetons per cell

(3)
This record from the Alexandria database describes a geometry-optimized Ba3AlH structure. The functional is PBE.

Lattice parameters (Å, degrees): 5.5771 5.5771 5.5771 90.00 90.00 90.00
Space group Pm-3m (No. 221)
Inequivalent atoms, fractional coordinates:
Ba: 0.0000 0.0000 0.5000 x3
Al: 0.5000 0.5000 0.5000 x1
H: 0.0000 0.0000 0.0000 x1

Computed properties:
Distance to the lowest polymorph of the same formula   0.000 eV/atom
Total magnetic moment   0.00 Bohr magnetons per cell

(4)
This record from the Alexandria database describes a geometry-optimized KY2Cl structure. The functional is PBE.

Lattice parameters (Å, degrees): 5.9184 5.9184 3.7631 90.00 90.00 90.00
Space group P4/mmm (No. 123)
Inequivalent atoms, fractional coordinates:
K: 0.0000 0.0000 0.0000 x1
Y: 0.0000 0.5000 0.5000 x2
Cl: 0.5000 0.5000 0.0000 x1

Computed properties:
E_form (uncorrected)   0.26 eV per atom
Distance to the lowest polymorph of the same formula   0.902 eV/atom
Total magnetic moment   0.00 Bohr magnetons per cell

(5)
This record from the Alexandria database describes a geometry-optimized K3MnAs structure. The functional is PBE.

Lattice parameters (Å, degrees): 6.4025 6.4025 6.4025 90.00 90.00 90.00
Space group Pm-3m (No. 221)
Inequivalent atoms, fractional coordinates:
K: 0.0000 0.0000 0.5000 x3
Mn: 0.5000 0.5000 0.5000 x1
As: 0.0000 0.0000 0.0000 x1

Computed properties:
Total DFT energy (no corrections)   -0.220 Ry/atom
Total magnetic moment   5.00 Bohr magnetons per cell

(6)
This record from the Alexandria database describes a geometry-optimized PrNdGeIr structure. The functional is PBE.

Lattice parameters (Å, degrees): 4.2246 4.2957 10.9220 90.00 90.00 90.00
Space group Amm2 (No. 38)
Inequivalent atoms, fractional coordinates:
Pr: 0.0000 0.0000 0.0000 x2
Nd: 0.5000 0.0000 0.2812 x2
Ge: 0.5000 0.0000 0.5752 x2
Ir: 0.0000 0.0000 0.7196 x2

Computed properties:
Total DFT energy (no corrections)   -0.478 Ry/atom
Total magnetic moment   0.00 Bohr magnetons per cell